RbU2Br7 | Alexandria via LeMat-Bulk | GGA-PBE | relaxed; E_tot = -4.87 eV/atom; volume = 39.89 Å³/atom; space group = Cmmm, No. 65; magnetization = 6.00 μB/f.u.
1.0
-1.050 3.642 -4.354
-8.621 -1.485 0.837
3.322 6.617 4.734
Br U Rb
7 2 1
Direct
0.500 0.951 0.675 Br
0.500 0.675 0.951 Br
0.500 0.049 0.325 Br
0.500 0.325 0.049 Br
0.000 0.295 0.705 Br
0.000 0.705 0.295 Br
0.500 0.500 0.500 Br
0.500 0.695 0.305 U
0.500 0.305 0.695 U
0.000 0.000 0.000 Rb

***

Pb3Au5I12 | Alexandria via LeMat-Bulk | GGA-PBE | relaxed; E_tot = -2.49 eV/atom; volume = 37.47 Å³/atom; space group = Ia-3d, No. 230; magnetization = 0.00 μB/f.u.
1.0
15.733 0.000 0.000
-5.244 14.833 0.000
-5.244 -7.416 12.846
Au I Pb
20 48 12
Direct
0.000 0.500 0.000 Au
0.375 0.250 0.125 Au
0.500 0.000 0.500 Au
0.500 0.000 0.000 Au
0.000 0.500 0.500 Au
0.500 0.500 0.500 Au
0.000 0.000 0.500 Au
0.500 0.500 0.000 Au
0.875 0.250 0.625 Au
0.125 0.750 0.375 Au
0.250 0.875 0.125 Au
0.875 0.625 0.750 Au
0.250 0.375 0.625 Au
0.375 0.125 0.750 Au
0.750 0.125 0.875 Au
0.750 0.625 0.375 Au
0.625 0.750 0.875 Au
0.125 0.375 0.250 Au
0.625 0.875 0.250 Au
0.000 0.000 0.000 Au
0.089 0.177 0.465 I
0.535 0.212 0.124 I
0.212 0.677 0.088 I
0.323 0.535 0.411 I
0.035 0.624 0.712 I
0.411 0.376 0.588 I
0.376 0.965 0.788 I
0.823 0.912 0.288 I
0.589 0.965 0.677 I
0.288 0.876 0.965 I
0.035 0.411 0.823 I
0.411 0.035 0.323 I
0.876 0.288 0.465 I
0.712 0.588 0.177 I
0.288 0.412 0.823 I
0.911 0.088 0.876 I
0.465 0.788 0.876 I
0.912 0.089 0.624 I
0.212 0.535 0.624 I
0.412 0.288 0.323 I
0.712 0.124 0.035 I
0.677 0.212 0.588 I
0.376 0.411 0.088 I
0.588 0.876 0.411 I
0.876 0.588 0.911 I
0.624 0.589 0.912 I
0.823 0.911 0.035 I
0.088 0.177 0.212 I
0.089 0.912 0.124 I
0.088 0.911 0.376 I
0.465 0.677 0.089 I
0.535 0.323 0.911 I
0.588 0.712 0.677 I
0.177 0.088 0.712 I
0.912 0.823 0.788 I
0.965 0.376 0.288 I
0.124 0.712 0.535 I
0.788 0.465 0.376 I
0.788 0.323 0.912 I
0.323 0.788 0.412 I
0.624 0.035 0.212 I
0.911 0.823 0.535 I
0.965 0.589 0.177 I
0.677 0.465 0.589 I
0.412 0.124 0.589 I
0.177 0.089 0.965 I
0.589 0.624 0.412 I
0.124 0.412 0.089 I
0.625 0.250 0.375 Pb
0.375 0.625 0.250 Pb
0.625 0.375 0.750 Pb
0.125 0.250 0.875 Pb
0.125 0.875 0.750 Pb
0.250 0.625 0.875 Pb
0.750 0.875 0.625 Pb
0.875 0.125 0.250 Pb
0.750 0.375 0.125 Pb
0.375 0.750 0.625 Pb
0.875 0.750 0.125 Pb
0.250 0.125 0.375 Pb

***

TbSn2Rh | Alexandria via LeMat-Bulk | GGA-PBE | relaxed; E_tot = -5.62 eV/atom; volume = 22.73 Å³/atom; space group = R-3m, No. 166; magnetization = 0.00 μB/f.u.
1.0
-0.467 1.774 -4.089
2.865 -1.108 -3.264
-2.301 -3.755 -3.822
Tb Sn Rh
1 2 1
Direct
0.000 0.000 0.000 Tb
0.224 0.224 0.327 Sn
0.776 0.776 0.673 Sn
0.500 0.500 0.500 Rh

***

Rb3LiCo | Alexandria via LeMat-Bulk | GGA-PBE | relaxed; E_tot = -1.66 eV/atom; volume = 60.86 Å³/atom; space group = Pm-3m, No. 221; magnetization = 1.37 μB/f.u.; E above lowest polymorph = 0 meV/atom
1.0
6.726 0.000 0.000
0.000 6.726 0.000
0.000 0.000 6.726
Co Rb Li
1 3 1
Direct
0.000 0.000 0.000 Co
0.000 0.500 0.000 Rb
0.000 0.000 0.500 Rb
0.500 0.000 0.000 Rb
0.500 0.500 0.500 Li